[1]
VASP calculation (PBE) on crystalline Rb3Sb3Pb8 at its relaxed geometry.

Computed properties:
- Final energy: -3.285 eV per atom
- Uncorrected formation energy: -0.075 eV per atom
- Space-group type: Immm

a = 10.201 Å, b = 10.201 Å, c = 10.201 Å
α = 150.19°, β = 100.83°, γ = 86.82°
Atoms (fractional coordinates):
Rb 0.000 0.000 0.000
Rb 0.289 0.289 0.000
Rb 0.711 0.711 0.000
Sb 0.342 0.500 0.842
Sb 0.500 0.000 0.500
Sb 0.658 0.500 0.158
Pb 0.027 0.378 0.649
Pb 0.132 0.843 0.290
Pb 0.272 0.622 0.649
Pb 0.447 0.157 0.290
Pb 0.553 0.843 0.710
Pb 0.728 0.378 0.351
Pb 0.868 0.157 0.710
Pb 0.973 0.622 0.351



[2]
VASP calculation (PBE) on crystalline Rb2SbPb7 at its relaxed geometry.

Computed properties:
- Final energy: -3.297 eV per atom
- Uncorrected formation energy: -0.095 eV per atom
- Space-group type: P-4m2

a = 5.349 Å, b = 5.349 Å, c = 13.585 Å
α = 90.00°, β = 90.00°, γ = 90.00°
Atoms (fractional coordinates):
Rb 0.000 0.500 0.244
Rb 0.500 0.000 0.756
Sb 0.500 0.500 0.000
Pb 0.000 0.000 0.000
Pb 0.000 0.000 0.500
Pb 0.000 0.500 0.634
Pb 0.000 0.500 0.873
Pb 0.500 0.000 0.127
Pb 0.500 0.000 0.366
Pb 0.500 0.500 0.500



[3]
VASP calculation (PBE) on crystalline Rb4Sb6Pb5 at its relaxed geometry.

Computed properties:
- Final energy: -3.344 eV per atom
- Uncorrected formation energy: -0.200 eV per atom
- Space-group type: Cmc2_1

a = 11.937 Å, b = 11.937 Å, c = 18.951 Å
α = 90.00°, β = 90.00°, γ = 153.32°
Atoms (fractional coordinates):
Rb 0.005 0.995 0.500
Rb 0.030 0.970 0.771
Rb 0.164 0.836 0.318
Rb 0.174 0.826 0.953
Rb 0.826 0.174 0.453
Rb 0.836 0.164 0.818
Rb 0.970 0.030 0.271
Rb 0.995 0.005 0.000
Sb 0.117 0.883 0.137
Sb 0.217 0.783 0.499
Sb 0.224 0.776 0.762
Sb 0.424 0.576 0.134
Sb 0.430 0.570 0.393
Sb 0.451 0.549 0.855
Sb 0.549 0.451 0.355
Sb 0.570 0.430 0.893
Sb 0.576 0.424 0.634
Sb 0.776 0.224 0.262
Sb 0.783 0.217 0.999
Sb 0.883 0.117 0.637
Pb 0.144 0.856 0.631
Pb 0.304 0.696 0.630
Pb 0.345 0.655 0.269
Pb 0.357 0.643 0.987
Pb 0.442 0.558 0.685
Pb 0.558 0.442 0.185
Pb 0.643 0.357 0.487
Pb 0.655 0.345 0.769
Pb 0.696 0.304 0.130
Pb 0.856 0.144 0.131



[4]
VASP calculation (PBE) on crystalline RbSb3Pb at its relaxed geometry.

Computed properties:
- Final energy: -2.981 eV per atom
- Uncorrected formation energy: 0.428 eV per atom
- Energy above the lowest structure with this stoichiometry: 0 kJ/mol of formula units
- Space-group type: Pm-3m

a = 5.949 Å, b = 5.949 Å, c = 5.949 Å
α = 90.00°, β = 90.00°, γ = 90.00°
Atoms (fractional coordinates):
Rb 0.000 0.000 0.000
Sb 0.000 0.500 0.500
Sb 0.500 0.000 0.500
Sb 0.500 0.500 0.000
Pb 0.500 0.500 0.500



[5]
VASP calculation (PBE) on crystalline RbSb3Pb at its relaxed geometry.

Computed properties:
- Final energy: -2.176 eV per atom
- Uncorrected formation energy: 1.233 eV per atom
- Energy above the lowest structure with this stoichiometry: 388 kJ/mol of formula units
- Space-group type: Pm-3m

a = 5.939 Å, b = 5.939 Å, c = 5.939 Å
α = 90.00°, β = 90.00°, γ = 90.00°
Atoms (fractional coordinates):
Rb 0.000 0.000 0.000
Sb 0.000 0.000 0.500
Sb 0.000 0.500 0.000
Sb 0.500 0.000 0.000
Pb 0.500 0.500 0.500



[6]
VASP calculation (PBE) on crystalline RbSbPb at its relaxed geometry.

Computed properties:
- Final energy: -3.134 eV per atom
- Uncorrected formation energy: -0.202 eV per atom
- Space-group type: I4mm

a = 4.112 Å, b = 4.112 Å, c = 13.289 Å
α = 90.00°, β = 90.00°, γ = 90.00°
Atoms (fractional coordinates):
Rb 0.000 0.000 0.000
Rb 0.500 0.500 0.500
Sb 0.000 0.000 0.695
Sb 0.500 0.500 0.195
Pb 0.000 0.000 0.293
Pb 0.500 0.500 0.793



[7]
VASP calculation (PBE) on crystalline RbSbPb at its relaxed geometry.

Computed properties:
- Final energy: -3.207 eV per atom
- Uncorrected formation energy: -0.275 eV per atom
- Space-group type: P4/nmm

a = 5.426 Å, b = 5.426 Å, c = 8.524 Å
α = 90.00°, β = 90.00°, γ = 90.00°
Atoms (fractional coordinates):
Rb 0.250 0.250 0.156
Rb 0.750 0.750 0.844
Sb 0.250 0.250 0.712
Sb 0.750 0.750 0.288
Pb 0.250 0.750 0.500
Pb 0.750 0.250 0.500



[8]
VASP calculation (PBE) on crystalline Rb3Sb4Pb2 at its relaxed geometry.

Computed properties:
- Final energy: -3.260 eV per atom
- Uncorrected formation energy: -0.282 eV per atom
- Space-group type: C2/m

a = 8.281 Å, b = 8.281 Å, c = 11.155 Å
α = 112.11°, β = 112.11°, γ = 32.05°
Atoms (fractional coordinates):
Rb 0.000 0.000 0.000
Rb 0.400 0.400 0.319
Rb 0.600 0.600 0.681
Sb 0.102 0.102 0.398
Sb 0.284 0.284 0.951
Sb 0.716 0.716 0.049
Sb 0.898 0.898 0.602
Pb 0.290 0.290 0.651
Pb 0.710 0.710 0.349